Computed, not measured: a crystal of Li2FeRe relaxed with PBEsol at the meta-GGA SCAN level of DFT.

Output
The calculation puts the total moment at 8.27 μB per cell. As for the offset from the most stable computed form: 0 meV/atom. As for the energy of formation from the pure elements: 261 meV per atom.

```
data_Li2FeRe
_chemical_formula_sum 'Li6 Fe3 Re3'
_cell_length_a 2.5942
_cell_length_b 2.5942
_cell_length_c 27.8136
_cell_angle_alpha 90.00
_cell_angle_beta 90.00
_cell_angle_gamma 120.00
_symmetry_space_group_name_H-M 'R -3 m'
_symmetry_Int_Tables_number 166
_symmetry_space_group_name_Hall '-R 3 2"'
loop_
_atom_site_label
_atom_site_type_symbol
_atom_site_fract_x
_atom_site_fract_y
_atom_site_fract_z
Li1 Li 0.0000 0.0000 0.2491
Fe1 Fe 0.0000 0.0000 0.5000
Re1 Re 0.0000 0.0000 0.0000
```

=====

Computed, not measured: a crystal of LiFeRh2 relaxed with PBEsol at the meta-GGA SCAN level of DFT.

Output
The calculation puts the total moment at 11.78 μB per cell. As for the offset from the most stable computed form: 66 meV/atom. As for the energy of formation from the pure elements: -162 meV per atom.

```
data_LiFeRh2
_chemical_formula_sum 'Li3 Fe3 Rh6'
_cell_length_a 2.6518
_cell_length_b 2.6518
_cell_length_c 25.5206
_cell_angle_alpha 90.00
_cell_angle_beta 90.00
_cell_angle_gamma 120.00
_symmetry_space_group_name_H-M 'R -3 m'
_symmetry_Int_Tables_number 166
_symmetry_space_group_name_Hall '-R 3 2"'
loop_
_atom_site_label
_atom_site_type_symbol
_atom_site_fract_x
_atom_site_fract_y
_atom_site_fract_z
Li1 Li 0.0000 0.0000 0.0000
Fe1 Fe 0.0000 0.0000 0.5000
Rh1 Rh 0.0000 0.0000 0.2472
```

=====

Computed, not measured: a crystal of LiFeRh2 relaxed with PBEsol at the meta-GGA SCAN level of DFT.

Output
The calculation puts the total moment at 4.43 μB per cell. As for the offset from the most stable computed form: 234 meV/atom. As for the energy of formation from the pure elements: 5 meV per atom.

```
data_LiFeRh2
_chemical_formula_sum 'Li1 Fe1 Rh2'
_cell_length_a 3.029
_cell_length_b 3.029
_cell_length_c 5.435
_cell_angle_alpha 90.00
_cell_angle_beta 90.00
_cell_angle_gamma 90.00
_symmetry_space_group_name_H-M 'P 4 m m'
_symmetry_Int_Tables_number 99
loop_
_symmetry_equiv_pos_as_xyz
'x,y,z'
'-y,x,z'
'-x,-y,z'
'y,-x,z'
'-x,y,z'
'y,x,z'
'x,-y,z'
'-y,-x,z'
loop_
_atom_site_label
_atom_site_type_symbol
_atom_site_fract_x
_atom_site_fract_y
_atom_site_fract_z
Li1 Li 0.000 0.000 0.000
Fe1 Fe 0.500 0.500 0.755
Rh1 Rh 0.000 0.000 0.523
Rh2 Rh 0.500 0.500 0.215
```

=====

Computed, not measured: a crystal of LiFeRh relaxed with PBEsol at the meta-GGA SCAN level of DFT.

Output
The calculation puts the total moment at 15.60 μB per cell. As for the energy of formation from the pure elements: 442 meV per atom.

```
data_LiFeRh
_chemical_formula_sum 'Li4 Fe4 Rh4'
_cell_length_a 5.394
_cell_length_b 5.394
_cell_length_c 5.394
_cell_angle_alpha 90.00
_cell_angle_beta 90.00
_cell_angle_gamma 90.00
_symmetry_space_group_name_H-M 'F -4 3 m'
_symmetry_Int_Tables_number 216
_symmetry_space_group_name_Hall 'F -4 2 3'
loop_
_atom_site_label
_atom_site_type_symbol
_atom_site_fract_x
_atom_site_fract_y
_atom_site_fract_z
Li1 Li 0.000 0.000 0.000
Fe1 Fe 0.250 0.250 0.250
Rh1 Rh 0.250 0.250 0.750
```

=====

Computed, not measured: a crystal of LiFeRh2 relaxed with PBEsol at the meta-GGA SCAN level of DFT.

Output
The calculation puts the total moment at 16.39 μB per cell. As for the offset from the most stable computed form: 0 meV/atom. As for the energy of formation from the pure elements: -228 meV per atom.

```
data_LiFeRh2
_chemical_formula_sum 'Li4 Fe4 Rh8'
_cell_length_a 5.798
_cell_length_b 5.798
_cell_length_c 5.798
_cell_angle_alpha 90.00
_cell_angle_beta 90.00
_cell_angle_gamma 90.00
_symmetry_space_group_name_H-M 'F m -3 m'
_symmetry_Int_Tables_number 225
_symmetry_space_group_name_Hall '-F 4 2 3'
loop_
_atom_site_label
_atom_site_type_symbol
_atom_site_fract_x
_atom_site_fract_y
_atom_site_fract_z
Li1 Li 0.000 0.000 0.000
Fe1 Fe 0.000 0.000 0.500
Rh1 Rh 0.250 0.250 0.250
```

=====

Computed, not measured: a crystal of LiFe2Rh relaxed with PBEsol at the meta-GGA SCAN level of DFT.

Output
The calculation puts the total moment at 11.98 μB per cell. As for the energy of formation from the pure elements: 41 meV per atom.

```
data_LiFe2Rh
_chemical_formula_sum 'Li2 Fe4 Rh2'
_cell_length_a 2.792
_cell_length_b 3.913
_cell_length_c 8.338
_cell_angle_alpha 90.00
_cell_angle_beta 90.00
_cell_angle_gamma 90.00
_symmetry_space_group_name_H-M 'I m m m'
_symmetry_Int_Tables_number 71
_symmetry_space_group_name_Hall '-I 2 2'
loop_
_atom_site_label
_atom_site_type_symbol
_atom_site_fract_x
_atom_site_fract_y
_atom_site_fract_z
Li1 Li 0.000 0.000 0.000
Fe1 Fe 0.000 0.500 0.248
Rh1 Rh 0.000 0.000 0.500
```